Entry from Alexandria via LeMat-Bulk: a geometry-optimized PuAgSnPb structure (GGA-PBE).

abc: 5.2926 5.2926 5.2926
angles: 60.00 60.00 60.00
Last column: magnetic moment on the atom in μB.
Atoms (fractional coordinates):
Pb 0.0000 0.0000 0.0000  -0.02
Sn 0.2500 0.2500 0.2500  0.03
Ag 0.7500 0.7500 0.7500  0.00
Pu 0.5000 0.5000 0.5000  5.47

## Properties
Total magnetization (μB/f.u.): 5.8
DFT total energy (eV per formula unit): -24.9